# 1
The following is a DFT calculation (PBE) of a geometry-optimized Y2Nb4In3N3 structure.

As for the magnetic moment: 0.00 μB per formula unit. The value obtained for the theoretical density is 7.5 g/cm3. The total DFT energy (no corrections) is -7.979 eV/atom.

Unit cell a=5.8252 b=5.8252 c=14.4396 alpha=101.60 beta=101.60 gamma=60.41
Element x y z (fractional)
Y1 0.0357 0.8758 0.6059
Y2 0.1242 0.9643 0.8941
Y3 0.8758 0.0357 0.1059
Y4 0.9643 0.1242 0.3941
Nb1 0.1946 0.3549 0.0697
Nb2 0.3105 0.4730 0.4302
Nb3 0.3549 0.1946 0.5697
Nb4 0.4730 0.3105 0.9302
Nb5 0.5270 0.6895 0.0698
Nb6 0.6451 0.8054 0.4303
Nb7 0.6895 0.5270 0.5698
Nb8 0.8054 0.6451 0.9303
In1 0.0818 0.3641 0.7507
In2 0.3641 0.0818 0.2507
In3 0.4744 0.5256 0.2500
In4 0.5256 0.4744 0.7500
In5 0.6359 0.9182 0.7493
In6 0.9182 0.6359 0.2493
N1 0.0000 0.5000 0.5000
N2 0.1599 0.6792 0.0002
N3 0.3208 0.8401 0.4998
N4 0.5000 0.0000 0.0000
N5 0.6792 0.1599 0.5002
N6 0.8401 0.3208 0.9998

***

# 2
The following is a DFT calculation (PBE) of a geometry-optimized Nb4ZnInN2 structure.

As for the magnetic moment: 0.00 μB per formula unit. The value obtained for the theoretical density is 8.0 g/cm3. The total DFT energy (no corrections) is -8.159 eV/atom.

Unit cell a=3.1515 b=3.1515 c=13.9930 alpha=90.00 beta=90.00 gamma=120.00
Element x y z (fractional)
Nb1 0.0000 0.0000 0.1568
Nb2 0.0000 0.0000 0.8432
Nb3 0.6667 0.3333 0.3268
Nb4 0.6667 0.3333 0.6732
Zn1 0.6667 0.3333 0.0000
In1 0.0000 0.0000 0.5000
N1 0.3333 0.6667 0.2408
N2 0.3333 0.6667 0.7592